TaSn2PbI | PBE | optimized geometry

Calculated values
The total magnetization is 0.0 μB per formula unit. The density of states at the Fermi level comes out at 5.59 states/eV per cell. The calculation puts the volume at 33.62 Å³ per atom. As for the total energy: -23.47 eV/f.u. Its crystal system is tetragonal.

abc: 5.4595 5.4595 5.6394
angles: 90.00 90.00 90.00
Space group P4/mmm (No. 123)
Asymmetric unit:
Ta 0.0000 0.0000 0.0000 (multiplicity 1)
Sn 0.0000 0.5000 0.0000 (multiplicity 2)
Pb 0.0000 0.0000 0.5000 (multiplicity 1)
I 0.5000 0.5000 0.5000 (multiplicity 1)